This record from Alexandria via LeMat-Bulk describes an optimized crystal structure of ZrSnS2. The functional is PBE.

Values from the calculation:
Space group: R-3m
Energy relative to the elements, uncorrected in eV per formula unit: -1.2
Calculated total energy in eV per atom: -5.49
Volume in Å³/atom: 26.42

Cell and atoms, written as CIF:
```
data_ZrSnS2
_chemical_formula_sum 'Zr3 Sn3 S6'
_symmetry_space_group_name_H-M 'P 1'
_symmetry_Int_Tables_number 1
_cell_length_a 3.8601
_cell_length_b 3.8601
_cell_length_c 24.5654
_cell_angle_alpha 90.00
_cell_angle_beta 90.00
_cell_angle_gamma 120.00
loop_
_symmetry_equiv_pos_as_xyz
'x,y,z'
loop_
_atom_site_label
_atom_site_type_symbol
_atom_site_fract_x
_atom_site_fract_y
_atom_site_fract_z
_atom_site_occupancy
Zr1 Zr 0.0000 0.0000 0.0000 1
Zr2 Zr 0.3333 0.6667 0.6667 1
Zr3 Zr 0.6667 0.3333 0.3333 1
Sn1 Sn 0.0000 0.0000 0.5000 1
Sn2 Sn 0.3333 0.6667 0.1667 1
Sn3 Sn 0.6667 0.3333 0.8333 1
S1 S 0.0000 0.0000 0.0994 1
S2 S 0.0000 0.0000 0.9006 1
S3 S 0.3333 0.6667 0.5672 1
S4 S 0.3333 0.6667 0.7661 1
S5 S 0.6667 0.3333 0.2339 1
S6 S 0.6667 0.3333 0.4328 1
```

***

This record from Alexandria via LeMat-Bulk describes an optimized crystal structure of Sm7Mg3. The functional is PBE.

Values from the calculation:
Formation energy in meV per atom: 107
Space group: P6_3mc
Calculated total energy in eV per atom: -3.67
Volume in Å³/atom: 31.82

Cell and atoms, written as CIF:
```
data_Sm7Mg3
_chemical_formula_sum 'Sm14 Mg6'
_symmetry_space_group_name_H-M 'P 1'
_symmetry_Int_Tables_number 1
_cell_length_a 10.3884
_cell_length_b 10.3884
_cell_length_c 6.8092
_cell_angle_alpha 90.00
_cell_angle_beta 90.00
_cell_angle_gamma 120.00
loop_
_symmetry_equiv_pos_as_xyz
'x,y,z'
loop_
_atom_site_label
_atom_site_type_symbol
_atom_site_fract_x
_atom_site_fract_y
_atom_site_fract_z
_atom_site_occupancy
Sm1 Sm 0.0504 0.5252 0.0000 1
Sm2 Sm 0.1226 0.2452 0.2396 1
Sm3 Sm 0.1226 0.8774 0.2396 1
Sm4 Sm 0.2452 0.1226 0.7396 1
Sm5 Sm 0.3333 0.6667 0.3315 1
Sm6 Sm 0.4748 0.5252 0.0000 1
Sm7 Sm 0.4748 0.9496 0.0000 1
Sm8 Sm 0.5252 0.0504 0.5000 1
Sm9 Sm 0.5252 0.4748 0.5000 1
Sm10 Sm 0.6667 0.3333 0.8315 1
Sm11 Sm 0.7548 0.8774 0.2396 1
Sm12 Sm 0.8774 0.1226 0.7396 1
Sm13 Sm 0.8774 0.7548 0.7396 1
Sm14 Sm 0.9496 0.4748 0.5000 1
Mg1 Mg 0.2162 0.4324 0.6932 1
Mg2 Mg 0.2162 0.7838 0.6932 1
Mg3 Mg 0.4324 0.2162 0.1932 1
Mg4 Mg 0.5676 0.7838 0.6932 1
Mg5 Mg 0.7838 0.2162 0.1932 1
Mg6 Mg 0.7838 0.5676 0.1932 1
```

***

Computed total magnetic moment, in the same sequence as the records: 0.000 0.003 Bohr magnetons per cell.